A plane-wave DFT calculation with PBE was carried out for a relaxed structure of BiMo2Os2.

Polymorph energy (0 for the lowest one), eV/atom: 0.0000
Space group: P4/mbm, No. 127
Total moment, μB per formula unit: 0.00
ΔH_f (0 K), eV/atom: 0.44
Crystal system: tetragonal

Lattice parameters (Å, degrees): 7.792 7.792 2.923 90.00 90.00 90.00
Element x y z (fractional)
Bi1 0.000 0.000 0.000
Bi2 0.500 0.500 0.000
Mo1 0.148 0.352 0.000
Mo2 0.352 0.852 0.000
Mo3 0.648 0.148 0.000
Mo4 0.852 0.648 0.000
Os1 0.137 0.637 0.500
Os2 0.363 0.137 0.500
Os3 0.637 0.863 0.500
Os4 0.863 0.363 0.500

---

A plane-wave DFT calculation with PBE was carried out for a relaxed structure of BiMo2Os.

Space group: I-42d, No. 122
Total moment, μB per formula unit: 0.00
ΔH_f (0 K), eV/atom: 1.40
Crystal system: tetragonal

Lattice parameters (Å, degrees): 6.903 6.903 6.903 125.99 125.99 79.90
Element x y z (fractional)
Bi1 0.000 0.000 0.000
Bi2 0.750 0.250 0.500
Mo1 0.170 0.625 0.045
Mo2 0.375 0.420 0.545
Mo3 0.580 0.125 0.955
Mo4 0.875 0.830 0.455
Os1 0.250 0.750 0.500
Os2 0.500 0.500 0.000

---

A plane-wave DFT calculation with PBE was carried out for a relaxed structure of Bi2MoOs.

Polymorph energy (0 for the lowest one), eV/atom: 0.6409
Space group: I-42d, No. 122
Total moment, μB per formula unit: 2.48
ΔH_f (0 K), eV/atom: 1.51
Crystal system: tetragonal

Lattice parameters (Å, degrees): 7.700 7.700 7.700 132.03 132.03 70.19
Element x y z (fractional)
Bi1 0.106 0.625 0.981
Bi2 0.375 0.356 0.481
Bi3 0.644 0.125 0.019
Bi4 0.875 0.894 0.519
Mo1 0.250 0.750 0.500
Mo2 0.500 0.500 0.000
Os1 0.000 0.000 0.000
Os2 0.750 0.250 0.500